Entry from the Open Quantum Materials Database: crystalline Nb4InPC2 at its relaxed geometry (GGA-PBE).

Cell and atoms, written as POSCAR:
```
Nb4InPC2
1.0
3.2561 0.0000 0.0000
-1.6280 2.8198 0.0000
0.0000 0.0000 13.0541
P C Nb In
1 2 4 1
direct
0.6667 0.3333 0.5000
0.3333 0.6667 0.2708
0.3333 0.6667 0.7292
0.0000 0.0000 0.6338
0.6667 0.3333 0.1853
0.0000 0.0000 0.3662
0.6667 0.3333 0.8147
0.0000 0.0000 0.0000
```

Space group ... No. 187
Calculated total energy ... -8.966 eV per atom